# CePm3Sn

A geometry-optimized CePm3Sn structure (GGA-PBE, Alexandria).

The structure belongs to space group Cmcm (No. 63); the cell edges are 6.735, 16.841 and 5.912 Å and the angles 90.00°, 90.00° and 90.00°. The asymmetric unit holds Ce at (0.000, 0.041, 0.250), Pm at (0.000, 0.500, 0.000), Pm at (0.250, 0.166, 0.750) and Sn at (0.000, 0.331, 0.750).

Its formation enthalpy at 0 K is -106 meV/atom. The value obtained for the total energy is -4.94 eV/atom. The value obtained for the density is 6.87 g/cm³.

# AcPmPr2Nd5

A geometry-optimized AcPmPr2Nd5 structure (GGA-PBE, Alexandria).

The structure belongs to space group I4/mcm (No. 140); the cell edges are 9.047, 9.047 and 16.116 Å and the angles 90.00°, 90.00° and 90.00°. The asymmetric unit holds Ac at (0.000, 0.000, 0.250), Pm at (0.000, 0.500, 0.250), Pr at (0.118, 0.382, 0.000), Nd at (0.000, 0.000, 0.000) and Nd at (0.204, 0.296, 0.366).

Its formation enthalpy at 0 K is 234 meV/atom. The value obtained for the total energy is -4.46 eV/atom. The value obtained for the density is 6.92 g/cm³.

# Be2CrRh

A geometry-optimized Be2CrRh structure (GGA-PBE, Alexandria).

The structure belongs to space group F-43m (No. 216); the cell edges are 5.582, 5.582 and 5.582 Å and the angles 90.00°, 90.00° and 90.00°. The asymmetric unit holds Be at (0.000, 0.000, 0.000), Be at (0.250, 0.250, 0.250), Cr at (0.250, 0.250, 0.750) and Rh at (0.000, 0.000, 0.500).

Its formation enthalpy at 0 K is -119 meV/atom. The value obtained for the total energy is -6.23 eV/atom. As for the energy above the most stable polymorph in this dataset: 0.59 eV/f.u. The value obtained for the density is 6.60 g/cm³.

# Ca4U3As8Au

A geometry-optimized Ca4U3As8Au structure (GGA-PBE, Alexandria).

The structure belongs to space group R-3m (No. 166, hexagonal axes); the cell edges are 8.1713, 8.1713 and 20.8530 Å and the angles 90.00°, 90.00° and 120.00°. The asymmetric unit holds Ca at (0.0000, 0.0000, 0.0000), Ca at (0.0000, 0.5000, 0.0000), U at (0.0000, 0.5000, 0.5000), As at (0.0000, 0.0000, 0.2443), As at (0.0039, 0.5020, 0.7569) and Au at (0.0000, 0.0000, 0.5000).

Its formation enthalpy at 0 K is -788 meV/atom. The value obtained for the total energy is -5.93 eV/atom. The value obtained for the density is 6.90 g/cm³.